Density functional theory data (PBE) for crystalline AcBeSn at its relaxed geometry.

Structure (CIF):
```
data_AcBeSn
_chemical_formula_sum 'Ac4 Be4 Sn4'
_space_group_name_H-M_alt 'I 41 m d'
_space_group_IT_number 109
_space_group_name_Hall 'I 4bw -2'
_cell_length_a 4.5401
_cell_length_b 4.5401
_cell_length_c 15.2895
_cell_angle_alpha 90.00
_cell_angle_beta 90.00
_cell_angle_gamma 90.00
loop_
_atom_site_label
_atom_site_fract_x
_atom_site_fract_y
_atom_site_fract_z
Ac1 0.0000 0.0000 0.0000
Be1 0.0000 0.0000 0.4158
Sn1 0.0000 0.0000 0.5819
```

Properties
The calculation puts the uncorrected energy at -4.329 eV/atom.